A plane-wave DFT calculation with PBE-GGA was carried out for crystalline SrTiNiP2 at its relaxed geometry.

E: -62.435 eV/cell
space group: I-4m2 (119)
M_tot: 0.00 μB per formula unit
density: 4.51 g/cm3
formation energy: -1008 meV/atom

```
data_SrTiNiP2
_cell_length_a 3.912
_cell_length_b 3.912
_cell_length_c 12.336
_cell_angle_alpha 90.00
_cell_angle_beta 90.00
_cell_angle_gamma 90.00
_symmetry_space_group_name_H-M 'P 1'
_symmetry_Int_Tables_number 1
loop_
_symmetry_equiv_pos_as_xyz
'x,y,z'
loop_
_atom_site_label
_atom_site_fract_x
_atom_site_fract_y
_atom_site_fract_z
Sr1 0.000 0.000 0.000
Sr2 0.500 0.500 0.500
Ti1 0.000 0.500 0.750
Ti2 0.500 0.000 0.250
Ni1 0.000 0.500 0.250
Ni2 0.500 0.000 0.750
P1 0.000 0.000 0.360
P2 0.000 0.000 0.640
P3 0.500 0.500 0.140
P4 0.500 0.500 0.860
```